The following is a DFT calculation (PBE-GGA) of a relaxed structure of SrY2Al2.

```
data_SrY2Al2
_symmetry_space_group_name_H-M 'P 4/m b m'
_symmetry_Int_Tables_number 127
_symmetry_space_group_name_Hall '-P 4 2ab'
_cell_length_a 8.6686
_cell_length_b 8.6686
_cell_length_c 3.7615
_cell_angle_alpha 90.00
_cell_angle_beta 90.00
_cell_angle_gamma 90.00
loop_
_atom_site_label
_atom_site_fract_x
_atom_site_fract_y
_atom_site_fract_z
Sr1 0.0000 0.0000 0.0000
Y1 0.1744 0.3256 0.5000
Al1 0.1164 0.6164 0.0000
```

Results
* calculated volume: 28.27 A^3/atom
* ΔH_f (0 K): -0.201 eV per atom